SrSn2Ir | PBE | optimized geometry

- E_form (meV/atom) = -447
- magnetization (Bohr magnetons per cell) = 0.00

Geometry as CIF:
```
data_SrSn2Ir
_cell_length_a 4.4948
_cell_length_b 4.4948
_cell_length_c 17.8209
_cell_angle_alpha 90.00
_cell_angle_beta 90.00
_cell_angle_gamma 120.00
_space_group_name_H-M_alt 'R -3 m'
_space_group_IT_number 166
_space_group_name_Hall '-R 3 2"'
loop_
_atom_site_label
_atom_site_type_symbol
_atom_site_fract_x
_atom_site_fract_y
_atom_site_fract_z
Sr1 Sr 0.0000 0.0000 0.0000
Sn1 Sn 0.0000 0.0000 0.2173
Ir1 Ir 0.0000 0.0000 0.5000
```

SrSn4Ir | PBE | optimized geometry

- E_form (meV/atom) = -249
- magnetization (Bohr magnetons per cell) = 0.00

Geometry as CIF:
```
data_SrSn4Ir
_cell_length_a 6.943
_cell_length_b 7.395
_cell_length_c 7.429
_cell_angle_alpha 82.38
_cell_angle_beta 62.34
_cell_angle_gamma 89.94
_space_group_name_H-M_alt 'P -1'
_space_group_IT_number 2
loop_
_space_group_symop_operation_xyz
'x,y,z'
'-x,-y,-z'
loop_
_atom_site_label
_atom_site_type_symbol
_atom_site_fract_x
_atom_site_fract_y
_atom_site_fract_z
Sr1 Sr 0.099 0.247 0.001
Sn1 Sn 0.125 0.148 0.524
Sn2 Sn 0.308 0.581 0.127
Sn3 Sn 0.351 0.648 0.521
Sn4 Sn 0.445 0.916 0.870
Ir1 Ir 0.000 0.500 0.500
Ir2 Ir 0.500 0.000 0.500
```

Sr2Sn8Ir | PBE | optimized geometry

- E_form (meV/atom) = -338
- magnetization (Bohr magnetons per cell) = 0.00

Geometry as CIF:
```
data_Sr2Sn8Ir
_cell_length_a 4.805
_cell_length_b 4.805
_cell_length_c 12.750
_cell_angle_alpha 90.00
_cell_angle_beta 90.00
_cell_angle_gamma 90.00
_space_group_name_H-M_alt 'P 4/m m m'
_space_group_IT_number 123
_space_group_name_Hall '-P 4 2'
loop_
_atom_site_label
_atom_site_type_symbol
_atom_site_fract_x
_atom_site_fract_y
_atom_site_fract_z
Sr1 Sr 0.000 0.000 0.195
Sn1 Sn 0.000 0.500 0.000
Sn2 Sn 0.000 0.500 0.382
Sn3 Sn 0.500 0.500 0.193
Ir1 Ir 0.000 0.000 0.500
```

SrSn2Ir | PBE | optimized geometry

- E_form (meV/atom) = -86
- magnetization (Bohr magnetons per cell) = 0.00

Geometry as CIF:
```
data_SrSn2Ir
_cell_length_a 5.369
_cell_length_b 5.369
_cell_length_c 17.546
_cell_angle_alpha 90.00
_cell_angle_beta 90.00
_cell_angle_gamma 90.00
_space_group_name_H-M_alt 'I -4 2 d'
_space_group_IT_number 122
_space_group_name_Hall 'I -4 2bw'
loop_
_atom_site_label
_atom_site_type_symbol
_atom_site_fract_x
_atom_site_fract_y
_atom_site_fract_z
Sr1 Sr 0.000 0.000 0.000
Sn1 Sn 0.095 0.250 0.625
Ir1 Ir 0.000 0.000 0.500
```

Q: E_form of number 3 (Sr2Sn8Ir)?
A: -338 meV/atom

Q: E_form of number 3 (Sr2Sn8Ir)?
A: -338 meV/atom